Record 1
Below is a relaxed structure of NaPrPdPt, with properties calculated at the PBE-GGA level.

```
NaPrPdPt
1.0
-2.642 -1.431 3.950
0.276 -4.688 1.604
2.293 -1.028 4.280
Na Pt Pr Pd
1 1 1 1
Cartesian
-0.054 -5.360 7.375 Na
-0.036 -3.574 4.917 Pt
-0.018 -1.787 2.458 Pr
0.000 0.000 0.000 Pd
```

Calculated values
magnetic moment = 0.0 μB/cell
formation energy from the elements = -0.56 eV per atom


Record 2
Below is a relaxed structure of NaPr2Si3Pd12, with properties calculated at the PBE-GGA level.

```
NaPr2Si3Pd12
1.0
6.658 -1.447 -1.026
2.030 6.504 -1.026
2.030 1.182 6.478
Si Pd Pr Na
3 12 2 1
Cartesian
1.015 0.591 3.239 Si
3.329 -0.723 -0.513 Si
1.015 3.252 -0.513 Si
5.668 0.355 3.371 Pd
7.790 4.535 0.403 Pd
7.790 1.879 4.146 Pd
5.051 2.940 5.205 Pd
5.238 0.393 0.279 Pd
7.611 1.487 1.054 Pd
2.929 1.705 4.023 Pd
5.051 5.884 1.054 Pd
2.929 4.360 0.279 Pd
3.108 4.753 3.371 Pd
5.481 5.846 4.146 Pd
5.668 3.299 -0.779 Pd
3.930 2.288 1.623 Pr
6.789 3.952 2.803 Pr
0.000 0.000 0.000 Na
```

Calculated values
formation energy from raw total energies = -40.7 kJ/mol of atoms
magnetic moment = 0.0 μB/cell


Record 3
Below is a relaxed structure of NaPr2Sn3Pd4, with properties calculated at the PBE-GGA level.

```
NaPr2Sn3Pd4
1.0
-4.422 -0.348 -0.961
0.589 -4.355 -1.134
-2.043 -3.005 10.483
Sn Pd Pr Na
3 4 2 1
Cartesian
-1.021 -1.502 5.242 Sn
0.033 -2.563 0.777 Sn
-3.992 -2.793 8.658 Sn
0.000 0.000 0.000 Pd
-3.513 -2.089 6.200 Pd
-0.446 -3.267 3.235 Pd
-1.916 -2.352 -1.047 Pd
-1.270 -4.479 7.463 Pr
-2.689 -0.877 1.973 Pr
-2.938 -3.854 4.194 Na
```

Calculated values
magnetic moment = 0.0 μB/cell
formation energy from the elements = -0.67 eV per atom